Entry 1:
TlIn2Re | PBE | optimized geometry

Summary:
As for the density: 11.529 g cm⁻³. As for the density of states at the Fermi level: 3.43 states/eV/cell. The calculation puts the calculated volume at 89.3 Å³/cell. As for the energy of formation from the pure elements: 0.521 eV per atom. The value obtained for the final energy is -0.3346 Ry per atom. Its space group is R-3m (166). The energy relative to the lowest polymorph listed for this composition comes out at 67 meV/atom. The total magnetization is 0.000 μB/atom.

The structure in extended XYZ format:
```
4
Lattice="1.5723 0.9078 10.4312 -1.5723 0.9078 10.4312 0.0000 -1.8156 10.4312" Properties=species:S:1:pos:R:3 pbc="T T T"
Tl 0.0000 0.0000 0.0000
In 0.0000 0.0000 7.4280
In 0.0000 0.0000 23.8655
Re 0.0000 0.0000 15.6468
```

Entry 2:
YWN3 | PBE | optimized geometry

Summary:
The value obtained for the uncorrected formation energy is -825 meV per atom. As for the density: 7.212 g cm⁻³. As for the density of states at the Fermi level: 0.00 states/eV/cell. The calculation puts the calculated volume at 144.9 Å³/cell. The value obtained for the final energy is -0.7132 Ry per atom. Its space group is P1 (1). The total magnetization is 0.000 μB/atom.

The structure in extended XYZ format:
```
10
Lattice="3.7166 0.0000 0.0000 0.0161 5.5832 0.0000 0.3111 1.1193 6.9851" Properties=species:S:1:pos:R:3 pbc="T T T"
Y 0.0000 0.0000 0.0000
Y 1.9438 2.3654 2.2858
W 0.1773 4.9482 3.1586
W 1.7308 3.5071 5.4873
N 0.1568 3.8506 1.6697
N 1.2317 2.0150 4.6045
N 1.8585 1.4038 0.1237
N 2.0535 4.5011 3.6771
N 3.7949 4.4908 5.6345
N 3.7778 0.9220 2.2615
```

Entry 3:
Pm2TmPt | PBE | optimized geometry

Summary:
As for the density: 8.660 g cm⁻³. As for the density of states at the Fermi level: 18.41 states/eV/cell. The calculation puts the calculated volume at 501.6 Å³/cell. As for the energy of formation from the pure elements: -0.517 eV per atom. The value obtained for the final energy is -0.4057 Ry per atom. Its space group is Pnna (52). The energy relative to the lowest polymorph listed for this composition comes out at 151 meV/atom. The total magnetization is 0.000 μB/atom.

The structure in extended XYZ format:
```
16
Lattice="6.7318 0.0000 0.0000 0.0000 6.5147 0.0000 0.0000 0.0000 11.4377" Properties=species:S:1:pos:R:3 pbc="T T T"
Pm 0.5825 1.5384 0.9947
Pm 0.5825 1.7190 4.7242
Pm 2.7834 4.7957 4.7242
Pm 2.7834 4.9764 0.9947
Pm 3.9484 1.5384 10.4430
Pm 3.9484 1.7190 6.7135
Pm 6.1493 4.7957 6.7135
Pm 6.1493 4.9764 10.4430
Tm 0.3771 1.6287 8.5783
Tm 2.9888 4.8860 8.5783
Tm 3.7430 1.6287 2.8594
Tm 6.3547 4.8860 2.8594
Pt 1.6830 0.0000 6.8033
Pt 1.6830 3.2574 10.3532
Pt 5.0489 0.0000 4.6344
Pt 5.0489 3.2574 1.0845
```

Entry 4:
LiSiNi | PBE | optimized geometry

Summary:
The value obtained for the uncorrected formation energy is -412 meV per atom. As for the density: 4.249 g cm⁻³. As for the density of states at the Fermi level: 2.07 states/eV/cell. The calculation puts the calculated volume at 73.3 Å³/cell. The value obtained for the final energy is -0.3517 Ry per atom. Its space group is P-1 (2). The total magnetization is 0.000 μB/atom.

The structure in extended XYZ format:
```
6
Lattice="3.9876 0.0000 0.0000 0.0639 4.0686 0.0000 1.9933 0.5069 4.5154" Properties=species:S:1:pos:R:3 pbc="T T T"
Li 1.0272 1.1923 1.5612
Li 5.0175 3.3832 2.9542
Si 3.0106 1.6433 3.3482
Si 3.0341 2.9323 1.1672
Ni 1.0456 3.1850 0.0767
Ni 4.9991 1.3906 4.4387
```

Entry 5:
AcTmMg2 | PBE | optimized geometry

Summary:
As for the density: 6.057 g cm⁻³. As for the density of states at the Fermi level: 9.00 states/eV/cell. The calculation puts the calculated volume at 243.7 Å³/cell. As for the energy of formation from the pure elements: -0.033 eV per atom. The value obtained for the final energy is -0.2187 Ry per atom. Its space group is Pmma (51). The total magnetization is 0.000 μB/atom.

The structure in extended XYZ format:
```
8
Lattice="5.5400 0.0000 0.0000 0.0000 3.9646 0.0000 0.0000 0.0000 11.0974" Properties=species:S:1:pos:R:3 pbc="T T T"
Ac 1.3850 0.0000 1.3736
Ac 4.1550 0.0000 9.7238
Tm 1.3850 0.0000 6.8319
Tm 4.1550 0.0000 4.2655
Mg 1.3850 1.9823 4.2591
Mg 1.3850 1.9823 9.4287
Mg 4.1550 1.9823 1.6687
Mg 4.1550 1.9823 6.8383
```

Entry 6:
Nb2CdIr2 | PBE | optimized geometry

Summary:
As for the density: 12.548 g cm⁻³. As for the density of states at the Fermi level: 6.36 states/eV/cell. The calculation puts the calculated volume at 180.7 Å³/cell. As for the energy of formation from the pure elements: -0.197 eV per atom. The value obtained for the final energy is -0.5845 Ry per atom. Its space group is P4/mbm (127). The energy relative to the lowest polymorph listed for this composition comes out at 164 meV/atom. The total magnetization is 0.000 μB/atom.

The structure in extended XYZ format:
```
10
Lattice="7.9289 0.0000 0.0000 0.0000 7.9289 0.0000 0.0000 0.0000 2.8739" Properties=species:S:1:pos:R:3 pbc="T T T"
Nb 1.2257 2.7388 0.0000
Nb 2.7388 6.7032 0.0000
Nb 5.1901 1.2257 0.0000
Nb 6.7032 5.1901 0.0000
Cd 0.0000 0.0000 0.0000
Cd 3.9644 3.9644 0.0000
Ir 1.0780 5.0424 1.4370
Ir 2.8865 1.0780 1.4370
Ir 5.0424 6.8509 1.4370
Ir 6.8509 2.8865 1.4370
```

Entry 7:
RbAu | PBE | optimized geometry

Summary:
As for the density: 5.946 g cm⁻³. As for the density of states at the Fermi level: 0.24 states/eV/cell. The calculation puts the calculated volume at 315.5 Å³/cell. As for the energy of formation from the pure elements: -0.189 eV per atom. The value obtained for the final energy is -0.1699 Ry per atom. Its space group is I4/m (87). The total magnetization is 0.000 μB/atom.

The structure in extended XYZ format:
```
8
Lattice="-4.8724 4.8724 3.3225 4.8724 -4.8724 3.3225 4.8724 4.8724 -3.3225" Properties=species:S:1:pos:R:3 pbc="T T T"
Rb 6.8805 0.6664 0.0000
Rb 0.6664 2.8643 0.0000
Rb 4.2059 2.0081 3.3225
Rb -2.0081 4.2059 3.3225
Au 4.1710 2.8812 0.0000
Au 1.9911 -0.7013 3.3225
Au 2.8812 5.5737 0.0000
Au 0.7013 1.9911 3.3225
```

Entry 8:
Hg2PtAu | PBE | optimized geometry

Summary:
As for the density: 16.862 g cm⁻³. As for the density of states at the Fermi level: 1.09 states/eV/cell. The calculation puts the calculated volume at 78.1 Å³/cell. As for the energy of formation from the pure elements: 0.085 eV per atom. The value obtained for the final energy is -0.1761 Ry per atom. Its space group is Pm (6). The energy relative to the lowest polymorph listed for this composition comes out at 44 meV/atom. The total magnetization is 0.000 μB/atom.

The structure in extended XYZ format:
```
4
Lattice="2.9969 0.0000 0.0000 0.0000 4.7164 0.0000 -1.4648 0.0000 5.5267" Properties=species:S:1:pos:R:3 pbc="T T T"
Hg 0.0000 0.0000 0.0000
Hg 0.0291 2.3582 3.4595
Pt 1.4986 2.3582 0.7843
Au 1.5205 0.0000 2.5867
```

Entry 9:
Dy6GaRh | PBE | optimized geometry

Summary:
As for the density: 8.073 g cm⁻³. As for the density of states at the Fermi level: 9.05 states/eV/cell. The calculation puts the calculated volume at 236.1 Å³/cell. As for the energy of formation from the pure elements: -0.185 eV per atom. The value obtained for the final energy is -0.3627 Ry per atom. Its space group is C2/m (12). The total magnetization is 0.000 μB/atom.

The structure in extended XYZ format:
```
8
Lattice="3.3876 -5.7235 0.0000 3.3876 5.7235 0.0000 -2.7116 0.0000 6.0878" Properties=species:S:1:pos:R:3 pbc="T T T"
Dy 0.9462 2.1731 1.4988
Dy -0.4500 0.0000 4.6389
Dy 0.9462 -2.1731 1.4988
Dy 3.1174 2.1731 4.5890
Dy 4.5135 0.0000 1.4489
Dy 3.1174 -2.1731 4.5890
Ga 2.0318 0.0000 3.0439
Rh 0.0000 0.0000 0.0000
```